No. 1
An optimized crystal structure of ZrInHgIr. Source: OQMD, functional PBE-GGA.

```
data_ZrInHgIr
_cell_length_a 4.5411
_cell_length_b 4.5411
_cell_length_c 7.5375
_cell_angle_alpha 90.00
_cell_angle_beta 90.00
_cell_angle_gamma 90.00
_symmetry_space_group_name_H-M 'P 1'
_symmetry_Int_Tables_number 1
loop_
_symmetry_equiv_pos_as_xyz
'x,y,z'
loop_
_atom_site_label
_atom_site_type_symbol
_atom_site_fract_x
_atom_site_fract_y
_atom_site_fract_z
Zr1 Zr 0.0000 0.0000 0.0000
Zr2 Zr 0.5000 0.5000 0.5000
In1 In 0.0000 0.0000 0.5000
In2 In 0.5000 0.5000 0.0000
Hg1 Hg 0.0000 0.5000 0.2500
Hg2 Hg 0.5000 0.0000 0.7500
Ir1 Ir 0.0000 0.5000 0.7500
Ir2 Ir 0.5000 0.0000 0.2500
```

## Properties
M_tot   0.001 μB/f.u.
Total DFT energy (no corrections)   -21.30 eV per formula unit



No. 2
An optimized crystal structure of K6InHg. Source: OQMD, functional PBE-GGA.

```
data_K6InHg
_cell_length_a 8.4097
_cell_length_b 8.4097
_cell_length_c 6.5239
_cell_angle_alpha 90.00
_cell_angle_beta 90.00
_cell_angle_gamma 120.00
_symmetry_space_group_name_H-M 'P 1'
_symmetry_Int_Tables_number 1
loop_
_symmetry_equiv_pos_as_xyz
'x,y,z'
loop_
_atom_site_label
_atom_site_type_symbol
_atom_site_fract_x
_atom_site_fract_y
_atom_site_fract_z
K1 K 0.0251 0.5126 0.0000
K2 K 0.3142 0.1571 0.5000
K3 K 0.4874 0.5126 0.0000
K4 K 0.4874 0.9749 0.0000
K5 K 0.8429 0.1571 0.5000
K6 K 0.8429 0.6858 0.5000
In1 In 0.3333 0.6667 0.5000
Hg1 Hg 0.0000 0.0000 0.0000
```

## Properties
Total DFT energy (no corrections)   -9.88 eV per formula unit



No. 3
An optimized crystal structure of KInHg. Source: OQMD, functional PBE-GGA.

```
data_KInHg
_cell_length_a 7.9385
_cell_length_b 7.9385
_cell_length_c 7.9385
_cell_angle_alpha 90.00
_cell_angle_beta 90.00
_cell_angle_gamma 90.00
_symmetry_space_group_name_H-M 'P 1'
_symmetry_Int_Tables_number 1
loop_
_symmetry_equiv_pos_as_xyz
'x,y,z'
loop_
_atom_site_label
_atom_site_type_symbol
_atom_site_fract_x
_atom_site_fract_y
_atom_site_fract_z
K1 K 0.0000 0.0000 0.0000
K2 K 0.0000 0.5000 0.5000
K3 K 0.5000 0.0000 0.5000
K4 K 0.5000 0.5000 0.0000
In1 In 0.2500 0.2500 0.2500
In2 In 0.2500 0.7500 0.7500
In3 In 0.7500 0.2500 0.7500
In4 In 0.7500 0.7500 0.2500
Hg1 Hg 0.2500 0.2500 0.7500
Hg2 Hg 0.2500 0.7500 0.2500
Hg3 Hg 0.7500 0.2500 0.2500
Hg4 Hg 0.7500 0.7500 0.7500
```

## Properties
Total DFT energy (no corrections)   -3.45 eV per formula unit



No. 4
An optimized crystal structure of KIn2Hg2. Source: OQMD, functional PBE-GGA.

```
data_KIn2Hg2
_cell_length_a 4.8345
_cell_length_b 4.8345
_cell_length_c 13.2746
_cell_angle_alpha 90.00
_cell_angle_beta 90.00
_cell_angle_gamma 90.00
_symmetry_space_group_name_H-M 'P 1'
_symmetry_Int_Tables_number 1
loop_
_symmetry_equiv_pos_as_xyz
'x,y,z'
loop_
_atom_site_label
_atom_site_type_symbol
_atom_site_fract_x
_atom_site_fract_y
_atom_site_fract_z
K1 K 0.0000 0.0000 0.0000
K2 K 0.5000 0.5000 0.5000
In1 In 0.0000 0.5000 0.2500
In2 In 0.0000 0.5000 0.7500
In3 In 0.5000 0.0000 0.2500
In4 In 0.5000 0.0000 0.7500
Hg1 Hg 0.0000 0.0000 0.3903
Hg2 Hg 0.0000 0.0000 0.6097
Hg3 Hg 0.5000 0.5000 0.1097
Hg4 Hg 0.5000 0.5000 0.8903
```

## Properties
Total DFT energy (no corrections)   -7.94 eV per formula unit



Repeat the second record exactly.
An optimized crystal structure of K6InHg. Source: OQMD, functional PBE-GGA.

```
data_K6InHg
_cell_length_a 8.4097
_cell_length_b 8.4097
_cell_length_c 6.5239
_cell_angle_alpha 90.00
_cell_angle_beta 90.00
_cell_angle_gamma 120.00
_symmetry_space_group_name_H-M 'P 1'
_symmetry_Int_Tables_number 1
loop_
_symmetry_equiv_pos_as_xyz
'x,y,z'
loop_
_atom_site_label
_atom_site_type_symbol
_atom_site_fract_x
_atom_site_fract_y
_atom_site_fract_z
K1 K 0.0251 0.5126 0.0000
K2 K 0.3142 0.1571 0.5000
K3 K 0.4874 0.5126 0.0000
K4 K 0.4874 0.9749 0.0000
K5 K 0.8429 0.1571 0.5000
K6 K 0.8429 0.6858 0.5000
In1 In 0.3333 0.6667 0.5000
Hg1 Hg 0.0000 0.0000 0.0000
```

## Properties
Total DFT energy (no corrections)   -9.88 eV per formula unit